No. 1
! PBE SmInCu, optimized geometry; values from VASP
! **V**: 23.2 Å³ per atom
! **Total energy**: -4.18 eV per atom
&SYSTEM
  ibrav = 0, nat = 3, ntyp = 3
/
ATOMIC_SPECIES
Sm 150.36 Sm.upf
Cu 63.55 Cu.upf
In 114.82 In.upf
ATOMIC_POSITIONS crystal
Sm 0.6666 0.6667 0.3333
Cu 0.1668 0.0000 0.0000
In 0.1666 0.3333 0.6667
CELL_PARAMETERS angstrom
-0.3797 -1.4755 -3.3869
4.5764 -0.8369 -0.1485
-2.8981 -3.2091 1.7229

=====

No. 2
! PBE Ga2Fe2Ni15, optimized geometry; values from VASP
! **V**: 12.0 Å³ per atom
! **E above lowest polymorph**: 0.0000 eV per atom
! **Total energy**: -5.71 eV per atom
&SYSTEM
  ibrav = 0, nat = 19, ntyp = 3
/
ATOMIC_SPECIES
Ni 58.69 Ni.upf
Ga 69.72 Ga.upf
Fe 55.84 Fe.upf
ATOMIC_POSITIONS crystal
Ni 0.5000 0.0000 0.0000
Ni 0.0000 0.6809 0.3191
Ni 0.0000 0.0000 0.5000
Ni 0.6809 0.3191 0.0000
Ni 0.3191 0.0000 0.6809
Ni 0.6584 0.6584 0.1621
Ni 0.3416 0.3416 0.8379
Ni 0.6584 0.1621 0.6584
Ni 0.3416 0.8379 0.3416
Ni 0.8379 0.3416 0.3416
Ni 0.0000 0.3191 0.6809
Ni 0.3191 0.6809 0.0000
Ni 0.0000 0.5000 0.0000
Ni 0.1621 0.6584 0.6584
Ni 0.6809 0.0000 0.3191
Ga 0.3503 0.3503 0.3503
Ga 0.6497 0.6497 0.6497
Fe 0.9062 0.9062 0.9062
Fe 0.0938 0.0938 0.0938
CELL_PARAMETERS angstrom
6.0667 -0.1836 1.2088
0.9559 5.9937 1.2088
-0.2219 -0.1836 6.1819

=====

No. 3
! PBE Ta2FeNi, optimized geometry; values from VASP
! **V**: 14.5 Å³ per atom
! **Total energy**: -9.60 eV per atom
&SYSTEM
  ibrav = 0, nat = 4, ntyp = 3
/
ATOMIC_SPECIES
Ta 180.95 Ta.upf
Ni 58.69 Ni.upf
Fe 55.84 Fe.upf
ATOMIC_POSITIONS crystal
Ta 0.0000 0.0000 0.4969
Ta 0.0000 0.0000 0.0031
Ni 0.5000 0.5000 0.7500
Fe 0.5000 0.5000 0.2500
CELL_PARAMETERS angstrom
-0.9176 2.5885 1.4126
-2.4727 -1.4815 1.1086
3.1715 -1.5822 4.9595

=====

No. 4
! PBE La8NdSm5, optimized geometry; values from VASP
! **V**: 36.4 Å³ per atom
! **Total energy**: -4.63 eV per atom
&SYSTEM
  ibrav = 0, nat = 14, ntyp = 3
/
ATOMIC_SPECIES
La 138.91 La.upf
Nd 144.24 Nd.upf
Sm 150.36 Sm.upf
ATOMIC_POSITIONS crystal
La 0.6697 0.3984 0.9267
La 0.9316 0.1067 0.6652
La 0.0733 0.7430 0.4717
La 0.5283 0.6016 0.2714
La 0.3348 0.2664 0.4416
La 0.7286 0.2570 0.3303
La 0.1752 0.7336 0.0684
La 0.5584 0.8933 0.8248
Nd 0.2500 0.5000 0.7500
Sm 0.2768 0.0996 0.9680
Sm 0.8684 0.9004 0.1772
Sm 0.5000 0.0000 0.5000
Sm 0.0320 0.3088 0.1316
Sm 0.8228 0.6912 0.7232
CELL_PARAMETERS angstrom
-6.4087 -4.4540 3.9034
0.4453 -1.8939 -8.5065
7.3464 -2.2552 4.1340

=====

No. 5
! PBE La2AsHS, optimized geometry; values from VASP
! **V**: 31.8 Å³ per atom
! **Total energy**: -4.48 eV per atom
&SYSTEM
  ibrav = 0, nat = 5, ntyp = 4
/
ATOMIC_SPECIES
S 32.06 S.upf
La 138.91 La.upf
H 1.01 H.upf
As 74.92 As.upf
ATOMIC_POSITIONS crystal
S 0.0000 0.0000 0.5000
La 0.0000 0.5000 0.0000
La 0.5000 0.0000 0.0000
H 0.5000 0.5000 0.5000
As 0.0000 0.0000 0.0000
CELL_PARAMETERS angstrom
5.6696 0.0000 0.0000
0.0000 5.6696 0.0000
0.0000 0.0000 4.9402

=====

No. 6
! PBE AlZnIN2, optimized geometry; values from VASP
! **V**: 18.7 Å³ per atom
! **E above lowest polymorph**: 0.0000 eV per atom
! **Total energy**: -3.92 eV per atom
! **Energy relative to the elements, uncorrected**: 724 meV per atom
&SYSTEM
  ibrav = 0, nat = 5, ntyp = 4
/
ATOMIC_SPECIES
N 14.01 N.upf
I 126.90 I.upf
Al 26.98 Al.upf
Zn 65.41 Zn.upf
ATOMIC_POSITIONS crystal
N 0.5000 0.0000 0.0000
N 0.0000 0.5000 0.0000
I 0.0000 0.0000 0.5000
Al 0.0000 0.0000 0.0000
Zn 0.5000 0.5000 0.5000
CELL_PARAMETERS angstrom
-2.6092 0.9520 -2.5467
-2.6956 -0.4452 2.5953
0.6211 6.3358 1.7320

=====

No. 7
! PBE SmTh2In, optimized geometry; values from VASP
! **V**: 31.9 Å³ per atom
! **E above lowest polymorph**: 0.0369 eV per atom
! **Total energy**: -5.73 eV per atom
&SYSTEM
  ibrav = 0, nat = 8, ntyp = 3
/
ATOMIC_SPECIES
Sm 150.36 Sm.upf
Th 232.04 Th.upf
In 114.82 In.upf
ATOMIC_POSITIONS crystal
Sm 0.6946 0.7500 0.3879
Sm 0.3054 0.2500 0.6121
Th 0.0594 0.7500 0.1184
Th 0.4393 0.7500 0.8792
Th 0.9406 0.2500 0.8816
Th 0.5607 0.2500 0.1208
In 0.1671 0.2500 0.3327
In 0.8329 0.7500 0.6673
CELL_PARAMETERS angstrom
-3.3701 -2.4825 -2.2845
1.2283 -3.8756 2.3995
-5.7737 3.9033 9.2598

=====

No. 8
! PBE PrAlGa2Cu4, optimized geometry; values from VASP
! **V**: 16.4 Å³ per atom
! **Total energy**: -4.13 eV per atom
&SYSTEM
  ibrav = 0, nat = 8, ntyp = 4
/
ATOMIC_SPECIES
Ga 69.72 Ga.upf
Cu 63.55 Cu.upf
Al 26.98 Al.upf
Pr 140.91 Pr.upf
ATOMIC_POSITIONS crystal
Ga 0.7542 0.7542 0.7373
Ga 0.2458 0.2458 0.2627
Cu 0.8665 0.8665 0.4005
Cu 0.4068 0.4068 0.7797
Cu 0.5932 0.5932 0.2203
Cu 0.1335 0.1335 0.5995
Al 0.5000 0.5000 0.5000
Pr 0.0000 0.0000 0.0000
CELL_PARAMETERS angstrom
-4.0922 0.2359 0.8712
-1.3844 -0.9631 3.8362
-0.8337 7.9998 3.9964